1.
This record from Alexandria describes MgSiP2 after structural relaxation. The functional is PBEsol.

Cell lengths 2.7833, 2.7833, 9.3929 Å; angles 81.48, 81.48, 60.00 degrees
With the nearest neighbours (Å) after each atom.
Sites, in units of the cell vectors:
P 0.2546 0.2546 0.2363  3 Mg 2.71, 6 P 2.78, 3 Si 2.92
P 0.7454 0.7454 0.7637  3 Mg 2.71, 6 P 2.78, 3 Si 2.92
Si 0.5000 0.5000 0.5000  6 Si 2.78, 6 P 2.92
Mg 0.0000 0.0000 0.0000  6 P 2.71, 6 Mg 2.78

Results
As for the space group: No. 166. As for the energy above the most stable polymorph in this dataset: 293.1 kJ/mol of formula units. The magnetic moment comes out at 0.00 μB/cell. The value obtained for the electronic total energy is -0.1617 Ha/atom. The uncorrected formation energy is 140 kJ/mol of formula units.



2.
This record from Alexandria describes MgTa2SiP after structural relaxation. The functional is PBEsol.

Cell lengths 4.4689, 4.5886, 4.5886 Å; angles 90.00, 90.00, 90.00 degrees
With the nearest neighbours (Å) after each atom.
Sites, in units of the cell vectors:
P 0.0000 0.0000 0.0000  2 Mg 2.23, 4 Ta 2.29
Si 0.5000 0.5000 0.5000  8 Ta 3.20, 4 Mg 3.24
Mg 0.5000 0.0000 0.0000  2 P 2.23
Ta 0.0000 0.0000 0.5000  2 P 2.29
Ta 0.0000 0.5000 0.0000  2 P 2.29

Results
As for the space group: No. 123. The magnetic moment comes out at 0.00 μB/cell. The value obtained for the electronic total energy is -0.2632 Ha/atom. The uncorrected formation energy is 245 kJ/mol of formula units.



3.
This record from Alexandria describes MgSnP2 after structural relaxation. The functional is PBEsol.

Cell lengths 5.8896, 5.8896, 7.0789 Å; angles 114.58, 114.58, 90.00 degrees
With the nearest neighbours (Å) after each atom.
Sites, in units of the cell vectors:
P 0.3714 0.8750 0.2500  2 Sn 2.51, 2 Mg 2.54
P 0.8786 0.3750 0.2500  2 Sn 2.51, 2 Mg 2.54
P 0.1250 0.1214 0.7500  2 Sn 2.51, 2 Mg 2.54
P 0.6250 0.6286 0.7500  2 Sn 2.51, 2 Mg 2.54
Mg 0.7500 0.2500 0.5000  4 P 2.54
Mg 0.5000 0.5000 0.0000  4 P 2.54
Sn 0.2500 0.7500 0.5000  4 P 2.51
Sn 0.0000 0.0000 0.0000  4 P 2.51

Results
As for the space group: No. 122. The formation energy from the elements is -269 meV/atom. The magnetic moment comes out at 0.00 μB/cell. The value obtained for the electronic total energy is -0.1712 Ha/atom.



4.
This record from Alexandria describes MgSn3P after structural relaxation. The functional is PBEsol.

Cell lengths 5.1439, 5.1439, 5.1439 Å; angles 90.00, 90.00, 90.00 degrees
With the nearest neighbours (Å) after each atom.
Sites, in units of the cell vectors:
P 0.0000 0.0000 0.0000  6 Sn 2.57
Mg 0.5000 0.5000 0.5000  12 Sn 3.64
Sn 0.0000 0.5000 0.0000  2 P 2.57
Sn 0.0000 0.0000 0.5000  2 P 2.57
Sn 0.5000 0.0000 0.0000  2 P 2.57

Results
As for the space group: No. 221. The formation energy from the elements is 387 meV/atom. The magnetic moment comes out at 0.00 μB/cell. The value obtained for the electronic total energy is -0.1349 Ha/atom.



5.
This record from Alexandria describes Mg3SnP after structural relaxation. The functional is PBEsol.

Cell lengths 5.1898, 5.1898, 5.1898 Å; angles 90.00, 90.00, 90.00 degrees
With the nearest neighbours (Å) after each atom.
Sites, in units of the cell vectors:
P 0.5000 0.5000 0.5000  12 Mg 3.67
Mg 0.0000 0.5000 0.0000  2 Sn 2.59
Mg 0.0000 0.0000 0.5000  2 Sn 2.59
Mg 0.5000 0.0000 0.0000  2 Sn 2.59
Sn 0.0000 0.0000 0.0000  6 Mg 2.59

Results
As for the space group: No. 221. The formation energy from the elements is 505 meV/atom. The magnetic moment comes out at 0.80 μB/cell. The value obtained for the electronic total energy is -0.0932 Ha/atom.



6.
This record from Alexandria describes Sr2MgP after structural relaxation. The functional is PBEsol.

Cell lengths 3.7073, 3.7073, 8.9105 Å; angles 90.00, 90.00, 89.95 degrees
With the nearest neighbours (Å) after each atom.
Sites, in units of the cell vectors:
Mg 0.0000 0.0000 0.4242  4 P 2.83, 1 Sr 3.00
P 0.5000 0.5000 0.3049  4 Mg 2.83
Sr 0.0000 0.0000 0.0876  1 Mg 3.00, 4 P 3.26
Sr 0.5000 0.5000 0.6833  1 P 3.37, 4 Mg 3.49, 4 Sr 3.71

Results
As for the space group: No. 99. The formation energy from the elements is -302 meV/atom. As for the energy above the most stable polymorph in this dataset: 91.0 kJ/mol of formula units. The magnetic moment comes out at 0.00 μB/cell. The value obtained for the electronic total energy is -0.1139 Ha/atom.